DFT (PBE-GGA) results for a relaxed RbNa2C2O6 crystal.

## Properties
symmetry: C2/m, No. 12
ΔE_f (raw): -1.57 eV per atom

a = 6.021 Å, b = 6.021 Å, c = 6.144 Å
α = 111.28°, β = 111.28°, γ = 59.15°
Fractional positions:
Rb  0.000  0.000  0.000
Na  0.319  0.319  0.697
Na  0.681  0.681  0.303
C  0.350  0.350  0.255
C  0.650  0.650  0.745
O  0.121  0.495  0.311
O  0.431  0.431  0.145
O  0.495  0.121  0.311
O  0.505  0.879  0.689
O  0.569  0.569  0.855
O  0.879  0.505  0.689

---

DFT (PBE-GGA) results for a relaxed Rb3NaC2O6 crystal.

## Properties
symmetry: P-3m1, No. 164
ΔE_f (raw): -1.72 eV per atom

a = 5.820 Å, b = 5.820 Å, c = 7.121 Å
α = 90.00°, β = 90.00°, γ = 120.00°
Fractional positions:
Rb  0.000  0.000  0.000
Rb  0.333  0.667  0.708
Rb  0.667  0.333  0.292
Na  0.000  0.000  0.500
C  0.333  0.667  0.282
C  0.667  0.333  0.718
O  0.204  0.407  0.284
O  0.204  0.796  0.284
O  0.407  0.204  0.716
O  0.593  0.796  0.284
O  0.796  0.204  0.716
O  0.796  0.593  0.716

---

DFT (PBE-GGA) results for a relaxed NaRhCO5 crystal.

## Properties
symmetry: C2/c, No. 15
ΔE_f (raw): -0.94 eV per atom

a = 5.225 Å, b = 5.225 Å, c = 6.965 Å
α = 105.76°, β = 105.76°, γ = 105.33°
Fractional positions:
Na  0.153  0.847  0.750
Na  0.847  0.153  0.250
Rh  0.500  0.500  0.000
Rh  0.500  0.500  0.500
C  0.194  0.806  0.250
C  0.806  0.194  0.750
O  0.077  0.250  0.908
O  0.170  0.607  0.347
O  0.250  0.077  0.408
O  0.393  0.830  0.153
O  0.414  0.586  0.750
O  0.586  0.414  0.250
O  0.607  0.170  0.847
O  0.750  0.923  0.592
O  0.830  0.393  0.653
O  0.923  0.750  0.092

---

DFT (PBE-GGA) results for a relaxed NaRhC2O6 crystal.

## Properties
symmetry: R-3, No. 148
ΔE_f (raw): -1.31 eV per atom

a = 6.129 Å, b = 6.129 Å, c = 6.129 Å
α = 46.00°, β = 46.00°, γ = 46.00°
Fractional positions:
Na  0.000  0.000  0.000
Rh  0.500  0.500  0.500
C  0.236  0.236  0.236
C  0.764  0.764  0.764
O  0.042  0.743  0.501
O  0.257  0.499  0.958
O  0.499  0.958  0.257
O  0.501  0.042  0.743
O  0.743  0.501  0.042
O  0.958  0.257  0.499